Entry 1:
Below is a relaxed SrGa4Pd2Rh crystal, with properties calculated at the PBE-GGA level.

Unit cell a=9.760 b=9.760 c=9.760 alpha=25.39 beta=25.39 gamma=25.39
Sites, in units of the cell vectors:
Sr 0.000 0.000 0.000
Ga 0.134 0.134 0.134
Ga 0.406 0.406 0.406
Ga 0.594 0.594 0.594
Ga 0.866 0.866 0.866
Pd 0.230 0.230 0.230
Pd 0.770 0.770 0.770
Rh 0.500 0.500 0.500

## Properties
Its calculated density is 7.5 g/cm3. As for the space group: R-3m. The calculation puts the energy of formation at -4.90 eV per formula unit.

***

Entry 2:
Below is a relaxed TiBe2TcPt crystal, with properties calculated at the PBE-GGA level.

Unit cell a=4.153 b=4.153 c=4.774 alpha=90.00 beta=90.00 gamma=90.00
Sites, in units of the cell vectors:
Ti 0.000 0.000 0.000
Be 0.000 0.500 0.500
Be 0.500 0.000 0.500
Tc 0.500 0.500 0.500
Pt 0.500 0.500 0.000

## Properties
Its calculated density is 7.2 g/cm3. As for the space group: P4/mmm. The calculation puts the energy of formation at 3.47 eV per formula unit.

***

Entry 3:
Below is a relaxed PmSi3Rh crystal, with properties calculated at the PBE-GGA level.

Unit cell a=5.753 b=5.753 c=5.753 alpha=136.90 beta=136.90 gamma=62.59
Sites, in units of the cell vectors:
Pm 0.000 0.000 0.000
Si 0.236 0.736 0.500
Si 0.585 0.585 0.000
Si 0.736 0.236 0.500
Rh 0.346 0.346 0.000

## Properties
Its calculated density is 6.3 g/cm3. The calculation puts the energy above the most stable polymorph in this dataset at 0.0 meV/atom. As for the space group: I4mm. Its raw formation energy is -77.4 kJ per mole of atoms.

***

Entry 4:
Below is a relaxed SrPIr4 crystal, with properties calculated at the PBE-GGA level.

Unit cell a=5.336 b=5.336 c=5.336 alpha=60.00 beta=60.00 gamma=60.00
Sites, in units of the cell vectors:
Sr 0.000 0.000 0.000
P 0.250 0.250 0.250
Ir 0.127 0.624 0.624
Ir 0.624 0.127 0.624
Ir 0.624 0.624 0.127
Ir 0.624 0.624 0.624

## Properties
Its calculated density is 13.7 g/cm3. The calculation puts the energy above the most stable polymorph in this dataset at 381.8 meV/atom. As for the space group: F-43m. The calculation puts the energy of formation at 1.87 eV per formula unit.